A geometry-optimized AlCoN2F structure. Source: the Alexandria database, functional PBE with a Hubbard U.

Computed properties:
Polymorph energy (0 for the lowest one) in meV per atom: 0
M_tot in μB/f.u.: 3.31
SG: P4/mmm (123)
Uncorrected energy in eV/atom: -5.51

Geometry as POSCAR:
```
AlCoN2F
1.0
3.787 0.000 0.000
0.000 3.787 0.000
0.000 0.000 3.675
N Co Al F
2 1 1 1
direct
0.000 0.500 0.000 N
0.500 0.000 0.000 N
0.500 0.500 0.500 Co
0.000 0.000 0.000 Al
0.000 0.000 0.500 F
```